# 1
A plane-wave DFT calculation with PBE was carried out for a geometry-optimized BeRhSe2 structure.

It has space group P4mm (No. 99), with a = 3.166 Å, b = 3.166 Å, c = 7.157 Å, α = 90.00°, β = 90.00° and γ = 90.00°. The distinct sites, in fractional coordinates, are Be at (0.000, 0.000, 0.000), Rh at (0.500, 0.500, 0.197), Se at (0.000, 0.000, 0.371) and Se at (0.500, 0.500, 0.843).

As for the total magnetization: 0.0 μB/f.u. For the uncorrected formation energy, the calculation gives -108.9 meV/atom.

---

# 2
A plane-wave DFT calculation with PBE was carried out for a geometry-optimized Pr3TmSi2N6 structure.

It has space group P-3m1 (No. 164), with a = 5.8451 Å, b = 5.8451 Å, c = 6.4575 Å, α = 90.00°, β = 90.00° and γ = 120.00°. The distinct sites, in fractional coordinates, are Pr at (0.0000, 0.0000, 0.0000), Pr at (0.3333, 0.6667, 0.6459), Tm at (0.0000, 0.0000, 0.5000), Si at (0.3333, 0.6667, 0.1915) and N at (0.1754, 0.3507, 0.2858).

As for the total magnetization: 1.8 μB/f.u. For the uncorrected formation energy, the calculation gives -1080.8 meV/atom.

---

# 3
A plane-wave DFT calculation with PBE was carried out for a geometry-optimized Y3Mg2Rh3 structure.

It has space group P6_3/mcm (No. 193), with a = 8.2112 Å, b = 8.2112 Å, c = 5.7864 Å, α = 90.00°, β = 90.00° and γ = 120.00°. The distinct sites, in fractional coordinates, are Y at (0.0000, 0.2704, 0.2500), Mg at (0.3333, 0.6667, 0.0000) and Rh at (0.0000, 0.3904, 0.7500).

As for the total magnetization: 0.0 μB/f.u. The formation energy comes out at -0.661 eV per atom.

---

# 4
A plane-wave DFT calculation with PBE was carried out for a geometry-optimized BeNi4Te structure.

It has space group F-43m (No. 216), with a = 6.751 Å, b = 6.751 Å, c = 6.751 Å, α = 90.00°, β = 90.00° and γ = 90.00°. The distinct sites, in fractional coordinates, are Be at (0.000, 0.000, 0.000), Ni at (0.126, 0.126, 0.626) and Te at (0.250, 0.250, 0.250).

As for the total magnetization: 0.0 μB/f.u. For the uncorrected formation energy, the calculation gives 216.0 meV/atom.

---

# 5
A plane-wave DFT calculation with PBE was carried out for a geometry-optimized Tb3YEr3Te8 structure.

It has space group R-3m (No. 166, hexagonal axes), with a = 8.6648 Å, b = 8.6648 Å, c = 21.2112 Å, α = 90.00°, β = 90.00° and γ = 120.00°. The distinct sites, in fractional coordinates, are Tb at (0.0000, 0.5000, 0.0000), Y at (0.0000, 0.0000, 0.5000), Er at (0.0000, 0.5000, 0.5000), Te at (0.0000, 0.0000, 0.2485) and Te at (0.0102, 0.5051, 0.7489).

As for the total magnetization: 0.0 μB/f.u. For the uncorrected formation energy, the calculation gives -1354.6 meV/atom.

---

# 6
A plane-wave DFT calculation with PBE was carried out for a geometry-optimized Ba2Tl2Sn3 structure.

It has space group C2/m (No. 12), with a = 12.544 Å, b = 5.054 Å, c = 7.894 Å, α = 90.00°, β = 107.54° and γ = 90.00°. The distinct sites, in fractional coordinates, are Ba at (0.137, 0.000, 0.275), Tl at (0.166, 0.000, 0.749), Sn at (0.000, 0.500, 0.500) and Sn at (0.094, 0.500, 0.924).

As for the total magnetization: 0.0 μB/f.u. The formation energy comes out at -0.441 eV per atom.

---

# 7
A plane-wave DFT calculation with PBE was carried out for a geometry-optimized Tb3Sm4ThSe8 structure.

It has space group R-3m (No. 166, hexagonal axes), with a = 8.3037 Å, b = 8.3037 Å, c = 20.3183 Å, α = 90.00°, β = 90.00° and γ = 120.00°. The distinct sites, in fractional coordinates, are Tb at (0.0000, 0.5000, 0.0000), Sm at (0.0000, 0.0000, 0.5000), Sm at (0.0000, 0.5000, 0.5000), Th at (0.0000, 0.0000, 0.0000), Se at (0.0000, 0.0000, 0.2525) and Se at (0.0050, 0.5025, 0.2513).

As for the total magnetization: 0.0 μB/f.u. For the uncorrected formation energy, the calculation gives -1756.2 meV/atom.

---

# 8
A plane-wave DFT calculation with PBE was carried out for a geometry-optimized Ho5Er8In structure.

It has space group I-4 (No. 82), with a = 9.490 Å, b = 9.490 Å, c = 9.825 Å, α = 90.00°, β = 90.00° and γ = 90.00°. The distinct sites, in fractional coordinates, are Ho at (0.000, 0.000, 0.000), Ho at (0.103, 0.209, 0.581), Er at (0.068, 0.324, 0.909), Er at (0.087, 0.183, 0.246) and In at (0.000, 0.500, 0.250).

As for the total magnetization: 0.0 μB/f.u. The formation energy comes out at 0.187 eV per atom.